Record 1
# PmGa2NiRu, optimized geometry, DFT PBE
data_PmGa2NiRu
_chemical_formula_sum 'Pm1 Ga2 Ni1 Ru1'
_cell_length_a 5.8816
_cell_length_b 5.8816
_cell_length_c 5.8816
_cell_angle_alpha 138.20
_cell_angle_beta 138.20
_cell_angle_gamma 60.60
_space_group_name_H-M_alt 'P 1'
_space_group_IT_number 1
loop_
_space_group_symop_operation_xyz
'x,y,z'
loop_
_atom_site_label
_atom_site_fract_x
_atom_site_fract_y
_atom_site_fract_z
Pm1 0.0000 0.0000 0.0000
Ga1 0.3718 0.3718 0.0000
Ga2 0.6282 0.6282 0.0000
Ni1 0.7500 0.2500 0.5000
Ru1 0.2500 0.7500 0.5000
# **Formation energy**: -0.50 eV/atom


Record 2
# Na3Nd2YS6, optimized geometry, DFT PBE
data_Na3Nd2YS6
_chemical_formula_sum 'Na3 Nd2 Y1 S6'
_cell_length_a 7.0762
_cell_length_b 7.0762
_cell_length_c 7.1007
_cell_angle_alpha 99.57
_cell_angle_beta 99.57
_cell_angle_gamma 120.00
_space_group_name_H-M_alt 'P 1'
_space_group_IT_number 1
loop_
_space_group_symop_operation_xyz
'x,y,z'
loop_
_atom_site_label
_atom_site_fract_x
_atom_site_fract_y
_atom_site_fract_z
Na1 0.0000 0.0000 0.0000
Na2 0.3336 0.6664 0.0000
Na3 0.6664 0.3336 0.0000
Nd1 0.1666 0.8334 0.5000
Nd2 0.8334 0.1666 0.5000
Y1 0.5000 0.5000 0.5000
S1 0.0974 0.4228 0.2685
S2 0.2515 0.2515 0.7303
S3 0.4228 0.0974 0.2685
S4 0.5772 0.9026 0.7315
S5 0.7485 0.7485 0.2697
S6 0.9026 0.5772 0.7315
# **Raw formation energy**: -1811 meV per atom


Record 3
# FeNiS2, optimized geometry, DFT PBE
data_FeNiS2
_chemical_formula_sum 'Fe1 Ni1 S2'
_cell_length_a 3.3913
_cell_length_b 3.3913
_cell_length_c 5.2093
_cell_angle_alpha 90.00
_cell_angle_beta 90.00
_cell_angle_gamma 120.00
_space_group_name_H-M_alt 'P 1'
_space_group_IT_number 1
loop_
_space_group_symop_operation_xyz
'x,y,z'
loop_
_atom_site_label
_atom_site_fract_x
_atom_site_fract_y
_atom_site_fract_z
Fe1 0.0000 0.0000 0.0000
Ni1 0.0000 0.0000 0.5000
S1 0.3333 0.6667 0.2372
S2 0.6667 0.3333 0.7628
# **Raw formation energy**: -249 meV per atom


Number 1: calculated volume 17.9 Å³/atom. Number 2: calculated volume 24.2 Å³/atom. Number 3: calculated volume 13.0 Å³/atom.